Record 1
# UPa5

A geometry-optimized UPa5 structure (GGA-PBE, Alexandria).

```
data_UPa5
_cell_length_a 10.338
_cell_length_b 4.578
_cell_length_c 6.579
_cell_angle_alpha 90.00
_cell_angle_beta 108.35
_cell_angle_gamma 90.00
_symmetry_space_group_name_H-M 'C 1 2/m 1'
_symmetry_Int_Tables_number 12
loop_
_symmetry_equiv_pos_as_xyz
'x,y,z'
'-x,-y,-z'
'-x,y,-z'
'x,-y,z'
'x+1/2,y+1/2,z'
'-x+1/2,-y+1/2,-z'
'-x+1/2,y+1/2,-z'
'x+1/2,-y+1/2,z'
loop_
_atom_site_label
_atom_site_type_symbol
_atom_site_fract_x
_atom_site_fract_y
_atom_site_fract_z
_atom_site_occupancy
U1 U 0.000 0.000 0.000 1
Pa1 Pa 0.000 0.000 0.500 1
Pa2 Pa 0.165 0.500 0.331 1
Pa3 Pa 0.167 0.500 0.835 1
```

Values from the calculation:
Energy above the lowest structure with this stoichiometry = 0 meV per atom
Formation enthalpy at 0 K = 73.3 meV/atom

Record 2
# U5Pa

A geometry-optimized U5Pa structure (GGA-PBE, Alexandria).

```
data_U5Pa
_cell_length_a 5.261
_cell_length_b 11.978
_cell_length_c 3.998
_cell_angle_alpha 90.00
_cell_angle_beta 90.00
_cell_angle_gamma 90.00
_symmetry_space_group_name_H-M 'C m m m'
_symmetry_Int_Tables_number 65
_symmetry_space_group_name_Hall '-C 2 2'
loop_
_atom_site_label
_atom_site_type_symbol
_atom_site_fract_x
_atom_site_fract_y
_atom_site_fract_z
_atom_site_occupancy
U1 U 0.000 0.000 0.000 1
U2 U 0.000 0.169 0.500 1
U3 U 0.000 0.321 0.000 1
Pa1 Pa 0.000 0.500 0.500 1
```

Values from the calculation:
Formation enthalpy at 0 K = 184.4 meV/atom